# 1
Compound: BeAlNF2
Source: Alexandria via LeMat-Bulk
Functional: PBE
Structure: relaxed

a = 3.5073 Å, b = 3.5073 Å, c = 4.0664 Å
α = 90.00°, β = 90.00°, γ = 90.00°
Positions (direct):
1 Be 0.0000 0.0000 0.0000
2 Al 0.5000 0.5000 0.5000
3 N 0.5000 0.5000 0.0000
4 F 0.0000 0.5000 0.5000
5 F 0.5000 0.0000 0.5000

* density: 2.92 Mg/m³
* polymorph energy (0 for the lowest one): 32.9 kJ per mole of atoms
* space group: P4/mmm, No. 123



# 2
Compound: BeAlNF2
Source: Alexandria via LeMat-Bulk
Functional: PBE
Structure: relaxed

a = 3.0394 Å, b = 3.0394 Å, c = 5.5215 Å
α = 90.00°, β = 90.00°, γ = 90.00°
Positions (direct):
1 Be 0.0000 0.0000 0.0000
2 Al 0.5000 0.5000 0.5000
3 N 0.0000 0.0000 0.5000
4 F 0.0000 0.5000 0.0000
5 F 0.5000 0.0000 0.0000

* density: 2.86 Mg/m³
* polymorph energy (0 for the lowest one): 0.0 kJ per mole of atoms
* space group: P4/mmm, No. 123



# 3
Compound: NaBe2AlF
Source: Alexandria via LeMat-Bulk
Functional: PBE
Structure: relaxed

a = 4.1179 Å, b = 4.1179 Å, c = 4.1159 Å
α = 90.00°, β = 90.00°, γ = 90.00°
Positions (direct):
1 Na 0.0000 0.0000 0.0000
2 Be 0.0000 0.5000 0.5000
3 Be 0.5000 0.0000 0.5000
4 Al 0.5000 0.5000 0.0000
5 F 0.0000 0.0000 0.5000

* density: 2.07 Mg/m³
* uncorrected energy: -2.910 eV per atom
* space group: P4/mmm, No. 123



# 4
Compound: RbBeAlF2
Source: Alexandria via LeMat-Bulk
Functional: PBE
Structure: relaxed

a = 4.3911 Å, b = 4.3911 Å, c = 4.6580 Å
α = 90.00°, β = 90.00°, γ = 90.00°
Positions (direct):
1 Rb 0.0000 0.0000 0.0000
2 Be 0.5000 0.5000 0.0000
3 Al 0.5000 0.5000 0.5000
4 F 0.0000 0.5000 0.5000
5 F 0.5000 0.0000 0.5000

* density: 2.95 Mg/m³
* uncorrected energy: -3.686 eV per atom
* space group: P4/mmm, No. 123



# 5
Compound: Rb2BeAlF6
Source: Alexandria via LeMat-Bulk
Functional: PBE
Structure: relaxed

a = 7.1548 Å, b = 7.1548 Å, c = 7.1548 Å
α = 138.14°, β = 138.14°, γ = 60.69°
Positions (direct):
1 Rb 0.2500 0.7500 0.5000
2 Rb 0.7500 0.2500 0.5000
3 Be 0.0000 0.0000 0.0000
4 Al 0.5000 0.5000 0.0000
5 F 0.2372 0.2372 0.4743
6 F 0.2372 0.7628 0.0000
7 F 0.3548 0.3548 0.0000
8 F 0.6452 0.6452 0.0000
9 F 0.7628 0.2372 0.0000
10 F 0.7628 0.7628 0.5257

* density: 3.30 Mg/m³
* uncorrected energy: -4.788 eV per atom
* space group: I4/mmm, No. 139



# 6
Compound: BeAlTe2F
Source: Alexandria via LeMat-Bulk
Functional: PBE
Structure: relaxed

a = 4.8242 Å, b = 4.8242 Å, c = 4.7141 Å
α = 90.00°, β = 90.00°, γ = 90.00°
Positions (direct):
1 Be 0.0000 0.0000 0.0000
2 Al 0.0000 0.0000 0.5000
3 Te 0.0000 0.5000 0.0000
4 Te 0.5000 0.0000 0.0000
5 F 0.5000 0.5000 0.5000

* density: 4.69 Mg/m³
* uncorrected energy: -3.108 eV per atom
* space group: P4/mmm, No. 123



# 7
Compound: BeAlZn2F
Source: Alexandria via LeMat-Bulk
Functional: PBE
Structure: relaxed

a = 4.7045 Å, b = 4.7045 Å, c = 3.7095 Å
α = 90.00°, β = 90.00°, γ = 90.00°
Positions (direct):
1 Be 0.0000 0.0000 0.0000
2 Al 0.5000 0.5000 0.0000
3 Zn 0.0000 0.5000 0.5000
4 Zn 0.5000 0.0000 0.5000
5 F 0.5000 0.5000 0.5000

* density: 3.76 Mg/m³
* uncorrected energy: -2.226 eV per atom
* space group: P4/mmm, No. 123



# 8
Compound: Be8AlFe3
Source: Alexandria via LeMat-Bulk
Functional: PBE
Structure: relaxed

a = 4.2000 Å, b = 4.2000 Å, c = 6.8240 Å
α = 90.00°, β = 90.00°, γ = 120.00°
Positions (direct):
1 Be 0.0000 0.0000 0.0000
2 Be 0.0000 0.0000 0.4997
3 Be 0.1713 0.3425 0.2577
4 Be 0.1713 0.8287 0.2577
5 Be 0.3373 0.1687 0.7492
6 Be 0.6575 0.8287 0.2577
7 Be 0.8313 0.1687 0.7492
8 Be 0.8313 0.6627 0.7492
9 Al 0.6667 0.3333 0.0655
10 Fe 0.3333 0.6667 0.5674
11 Fe 0.3333 0.6667 0.9393
12 Fe 0.6667 0.3333 0.4491

* density: 4.25 Mg/m³
* space group: P3m1, No. 156
* ΔE_f: -0.27 eV per atom



# 9
Compound: BeAlFe3
Source: Alexandria via LeMat-Bulk
Functional: PBE
Structure: relaxed

a = 3.8983 Å, b = 3.8983 Å, c = 3.8983 Å
α = 90.00°, β = 90.00°, γ = 90.00°
Positions (direct):
1 Be 0.0000 0.0000 0.0000
2 Al 0.5000 0.5000 0.5000
3 Fe 0.0000 0.0000 0.5000
4 Fe 0.0000 0.5000 0.0000
5 Fe 0.5000 0.0000 0.0000

* density: 5.70 Mg/m³
* polymorph energy (0 for the lowest one): 0.0 kJ per mole of atoms
* space group: Pm-3m, No. 221
* ΔE_f: 0.29 eV per atom



# 10
Compound: BeAl2Fe
Source: Alexandria via LeMat-Bulk
Functional: PBE
Structure: relaxed

a = 8.2200 Å, b = 8.2200 Å, c = 8.2200 Å
α = 19.00°, β = 19.00°, γ = 19.00°
Positions (direct):
1 Be 0.0000 0.0000 0.0000
2 Al 0.2510 0.2510 0.2510
3 Al 0.7490 0.7490 0.7490
4 Fe 0.5000 0.5000 0.5000

* density: 3.84 Mg/m³
* space group: R-3m, No. 166
* ΔE_f: 0.05 eV per atom



# 11
Compound: BeAl2Fe
Source: Alexandria via LeMat-Bulk
Functional: PBE
Structure: relaxed

a = 8.2621 Å, b = 8.2621 Å, c = 8.2621 Å
α = 18.95°, β = 18.95°, γ = 18.95°
Positions (direct):
1 Be 0.0000 0.0000 0.0000
2 Al 0.5125 0.5125 0.5125
3 Al 0.7490 0.7490 0.7490
4 Fe 0.2616 0.2616 0.2616

* density: 3.79 Mg/m³
* space group: R3m, No. 160
* ΔE_f: 0.06 eV per atom



# 12
Compound: Be2AlFe2
Source: Alexandria via LeMat-Bulk
Functional: PBE
Structure: relaxed

a = 5.8642 Å, b = 5.8642 Å, c = 2.8204 Å
α = 90.00°, β = 90.00°, γ = 90.00°
Positions (direct):
1 Be 0.1217 0.3783 0.0000
2 Be 0.3783 0.8783 0.0000
3 Be 0.6217 0.1217 0.0000
4 Be 0.8783 0.6217 0.0000
5 Al 0.0000 0.0000 0.0000
6 Al 0.5000 0.5000 0.0000
7 Fe 0.1715 0.6715 0.5000
8 Fe 0.3285 0.1715 0.5000
9 Fe 0.6715 0.8285 0.5000
10 Fe 0.8285 0.3285 0.5000

* density: 5.37 Mg/m³
* polymorph energy (0 for the lowest one): 0.0 kJ per mole of atoms
* space group: P4/mbm, No. 127
* ΔE_f: -0.28 eV per atom



# 13
Compound: BeAl2Fe
Source: Alexandria via LeMat-Bulk
Functional: PBE
Structure: relaxed

a = 4.0691 Å, b = 4.0691 Å, c = 4.0691 Å
α = 60.00°, β = 60.00°, γ = 60.00°
Positions (direct):
1 Be 0.0000 0.0000 0.0000
2 Al 0.5000 0.5000 0.5000
3 Al 0.7500 0.7500 0.7500
4 Fe 0.2500 0.2500 0.2500

* density: 4.14 Mg/m³
* space group: F-43m, No. 216
* ΔE_f: 0.05 eV per atom



# 14
Compound: BeAl2Fe
Source: Alexandria via LeMat-Bulk
Functional: PBE
Structure: relaxed

a = 2.9015 Å, b = 2.9015 Å, c = 5.7193 Å
α = 90.00°, β = 90.00°, γ = 90.00°
Positions (direct):
1 Be 0.0000 0.0000 0.0000
2 Al 0.0000 0.0000 0.4157
3 Al 0.5000 0.5000 0.7467
4 Fe 0.5000 0.5000 0.1731

* density: 4.10 Mg/m³
* space group: P4mm, No. 99
* ΔE_f: -0.14 eV per atom



# 15
Compound: BeAl2Fe
Source: Alexandria via LeMat-Bulk
Functional: PBE
Structure: relaxed

a = 3.9591 Å, b = 3.9591 Å, c = 7.5709 Å
α = 90.00°, β = 90.00°, γ = 120.00°
Positions (direct):
1 Be 0.3333 0.6667 0.2500
2 Be 0.6667 0.3333 0.7500
3 Al 0.3333 0.6667 0.5852
4 Al 0.3333 0.6667 0.9148
5 Al 0.6667 0.3333 0.0852
6 Al 0.6667 0.3333 0.4148
7 Fe 0.0000 0.0000 0.2500
8 Fe 0.0000 0.0000 0.7500

* density: 3.84 Mg/m³
* space group: P6_3/mmc, No. 194
* ΔE_f: 0.13 eV per atom



# 16
Compound: BeAl2Fe2
Source: Alexandria via LeMat-Bulk
Functional: PBE
Structure: relaxed

a = 5.6059 Å, b = 5.6059 Å, c = 3.7973 Å
α = 90.00°, β = 90.00°, γ = 90.00°
Positions (direct):
1 Be 0.0000 0.0000 0.0000
2 Be 0.5000 0.5000 0.0000
3 Al 0.1674 0.3326 0.5000
4 Al 0.3326 0.8326 0.5000
5 Al 0.6674 0.1674 0.5000
6 Al 0.8326 0.6674 0.5000
7 Fe 0.1426 0.6426 0.0000
8 Fe 0.3574 0.1426 0.0000
9 Fe 0.6426 0.8574 0.0000
10 Fe 0.8574 0.3574 0.0000

* density: 4.86 Mg/m³
* polymorph energy (0 for the lowest one): 0.0 kJ per mole of atoms
* space group: P4/mbm, No. 127
* ΔE_f: -0.21 eV per atom



# 17
Compound: BeAl2Fe
Source: Alexandria via LeMat-Bulk
Functional: PBE
Structure: relaxed

a = 4.6498 Å, b = 4.6498 Å, c = 4.6498 Å
α = 141.00°, β = 130.88°, γ = 64.42°
Positions (direct):
1 Be 0.0000 0.0000 0.0000
2 Al 0.4728 0.4728 0.0000
3 Al 0.7424 0.2424 0.5000
4 Fe 0.2185 0.7185 0.5000

* density: 4.18 Mg/m³
* space group: Imm2, No. 44
* ΔE_f: -0.20 eV per atom



# 18
Compound: BeAl4Fe
Source: Alexandria via LeMat-Bulk
Functional: PBE
Structure: relaxed

a = 4.9713 Å, b = 4.9713 Å, c = 4.9713 Å
α = 60.00°, β = 60.00°, γ = 60.00°
Positions (direct):
1 Be 0.0000 0.0000 0.0000
2 Al 0.3757 0.3757 0.3757
3 Al 0.3757 0.3757 0.8728
4 Al 0.3757 0.8728 0.3757
5 Al 0.8728 0.3757 0.3757
6 Fe 0.7500 0.7500 0.7500

* density: 3.30 Mg/m³
* space group: F-43m, No. 216
* ΔE_f: 0.43 eV per atom



# 19
Compound: BeAl2Fe
Source: Alexandria via LeMat-Bulk
Functional: PBE
Structure: relaxed

a = 5.3209 Å, b = 5.3209 Å, c = 5.3209 Å
α = 102.58°, β = 102.58°, γ = 124.35°
Positions (direct):
1 Be 0.0000 0.0000 0.0000
2 Be 0.7500 0.2500 0.5000
3 Al 0.1023 0.6250 0.9773
4 Al 0.3750 0.3523 0.4773
5 Al 0.6477 0.1250 0.0227
6 Al 0.8750 0.8977 0.5227
7 Fe 0.2500 0.7500 0.5000
8 Fe 0.5000 0.5000 0.0000

* density: 3.59 Mg/m³
* space group: I-42d, No. 122
* ΔE_f: 0.44 eV per atom



# 20
Compound: BeAl6Fe
Source: Alexandria via LeMat-Bulk
Functional: PBE
Structure: relaxed

a = 6.2675 Å, b = 6.2675 Å, c = 5.3861 Å
α = 90.23°, β = 90.23°, γ = 141.94°
Positions (direct):
1 Be 0.0000 0.0000 0.0000
2 Al 0.1664 0.8173 0.2543
3 Al 0.1827 0.8336 0.7457
4 Al 0.4975 0.4975 0.2589
5 Al 0.5025 0.5025 0.7411
6 Al 0.8173 0.1664 0.2543
7 Al 0.8336 0.1827 0.7457
8 Fe 0.0000 0.0000 0.5000

* density: 2.89 Mg/m³
* space group: C2/m, No. 12
* ΔE_f: 0.03 eV per atom